Record 1
First-principles (PBE) data for an optimized crystal structure of CaAcYLu, as listed in the Alexandria database.

Summary:
The space group is F-43m. The crystal system is cubic. The energy of formation comes out at 0.119 eV per atom.

```
CaAcYLu
1.0
0.000 4.172 4.172
4.172 0.000 4.172
4.172 4.172 0.000
Ca Ac Y Lu
1 1 1 1
Cartesian
0.000 0.000 0.000
2.086 2.086 2.086
6.258 6.258 6.258
4.172 4.172 4.172
```

Record 2
First-principles (PBE) data for an optimized crystal structure of NpTl2Cu2Te4, as listed in the Alexandria database.

Summary:
The space group is C2/m. The crystal system is monoclinic. The value obtained for the uncorrected formation energy is -0.363 eV/atom.

```
NpTl2Cu2Te4
1.0
7.828 -2.149 0.000
7.828 2.149 0.000
-2.766 0.000 8.046
Np Tl Cu Te
1 2 2 4
Cartesian
0.000 0.000 0.000
0.547 0.000 4.564
12.342 0.000 3.481
4.913 0.000 0.058
7.976 0.000 7.988
2.656 0.000 1.507
6.797 0.000 1.928
6.092 0.000 6.118
10.234 0.000 6.539
```

Record 3
First-principles (PBE) data for an optimized crystal structure of Mg3CoCl, as listed in the Alexandria database.

Summary:
As for the energy above the most stable polymorph in this dataset: 311.7 meV/atom. The space group is Pm-3m. The crystal system is cubic. The value obtained for the uncorrected formation energy is 0.467 eV/atom.

```
Mg3CoCl
1.0
4.801 0.000 0.000
0.000 4.801 0.000
0.000 0.000 4.801
Mg Co Cl
3 1 1
Cartesian
0.000 0.000 2.401
0.000 2.401 0.000
2.401 0.000 0.000
2.401 2.401 2.401
0.000 0.000 0.000
```

Record 4
First-principles (PBE) data for an optimized crystal structure of Pr15Sm4In, as listed in the Alexandria database.

Summary:
The space group is P4/mmm. The crystal system is tetragonal. The energy of formation comes out at -0.038 eV per atom.

```
Pr15Sm4In
1.0
5.163 0.000 0.000
0.000 5.163 0.000
0.000 0.000 26.165
Pr Sm In
15 4 1
Cartesian
0.000 0.000 0.000
0.000 0.000 5.140
0.000 0.000 10.430
0.000 0.000 15.735
0.000 0.000 21.025
0.000 2.581 2.501
0.000 2.581 7.792
0.000 2.581 13.083
0.000 2.581 18.373
0.000 2.581 23.665
2.581 0.000 2.501
2.581 0.000 7.792
2.581 0.000 13.083
2.581 0.000 18.373
2.581 0.000 23.665
2.581 2.581 5.157
2.581 2.581 10.448
2.581 2.581 15.718
2.581 2.581 21.008
2.581 2.581 0.000
```

Record 5
First-principles (PBE) data for an optimized crystal structure of Ga3PdPb, as listed in the Alexandria database.

Summary:
As for the energy above the most stable polymorph in this dataset: 0.0 meV/atom. The space group is Pm-3m. The crystal system is cubic. The energy of formation comes out at -0.039 eV per atom.

```
Ga3PdPb
1.0
4.901 0.000 0.000
0.000 4.901 0.000
0.000 0.000 4.901
Ga Pd Pb
3 1 1
Cartesian
0.000 0.000 2.450
0.000 2.450 0.000
2.450 0.000 0.000
0.000 0.000 0.000
2.450 2.450 2.450
```

Record 6
First-principles (PBE) data for an optimized crystal structure of LiSc2Cd5, as listed in the Alexandria database.

Summary:
The space group is I4/mmm. The crystal system is tetragonal. The energy of formation comes out at -0.234 eV per atom.

```
LiSc2Cd5
1.0
-2.328 2.328 7.796
2.328 -2.328 7.796
2.328 2.328 -7.796
Li Sc Cd
1 2 5
Cartesian
0.000 0.000 0.000
0.000 0.000 3.958
0.000 0.000 11.633
2.328 0.000 1.873
2.328 0.000 5.922
0.000 0.000 7.796
0.000 2.328 1.873
0.000 2.328 5.922
```

Record 7
First-principles (PBE) data for an optimized crystal structure of Hf3Zn2IrRh3, as listed in the Alexandria database.

Summary:
The space group is P-62m. The crystal system is hexagonal. The energy of formation comes out at -0.601 eV per atom.

```
Hf3Zn2IrRh3
1.0
7.589 0.000 0.000
-3.795 6.572 0.000
0.000 0.000 3.009
Hf Zn Ir Rh
3 2 1 3
Cartesian
-2.709 4.692 0.000
1.086 1.880 0.000
5.418 0.000 0.000
0.000 4.382 0.000
3.795 2.191 0.000
0.000 0.000 1.504
-1.494 2.587 1.504
2.987 0.000 1.504
2.301 3.985 1.504
```

Record 8
First-principles (PBE) data for an optimized crystal structure of Li2HoPd4, as listed in the Alexandria database.

Summary:
As for the energy above the most stable polymorph in this dataset: 171.3 meV/atom. The space group is I4/mmm. The crystal system is tetragonal. The energy of formation comes out at -0.385 eV per atom.

```
Li2HoPd4
1.0
-3.246 3.246 2.903
3.246 -3.246 2.903
3.246 3.246 -2.903
Li Ho Pd
2 1 4
Cartesian
3.246 0.000 0.000
0.000 3.246 0.000
0.000 0.000 0.000
1.623 1.623 -1.452
1.623 -1.623 1.452
-1.623 1.623 1.452
1.623 1.623 1.452
```

Record 9
First-principles (PBE) data for an optimized crystal structure of Pm9Y4Al11, as listed in the Alexandria database.

Summary:
The space group is Cmmm. The crystal system is orthorhombic. The energy of formation comes out at -0.307 eV per atom.

```
Pm9Y4Al11
1.0
7.922 -11.184 0.000
7.922 11.184 0.000
0.000 0.000 3.460
Pm Y Al
9 4 11
Cartesian
0.000 0.000 0.000
6.130 6.048 0.000
6.154 2.071 0.000
9.715 6.048 0.000
6.154 -2.071 0.000
9.691 2.071 0.000
6.130 -6.048 0.000
9.691 -2.071 0.000
9.715 -6.048 0.000
2.720 1.897 0.000
2.720 -1.897 0.000
13.125 1.897 0.000
13.125 -1.897 0.000
4.255 4.118 1.730
7.922 8.435 1.730
4.516 0.000 1.730
7.922 4.093 1.730
4.255 -4.118 1.730
7.922 0.000 1.730
11.590 4.118 1.730
7.922 -4.093 1.730
11.329 0.000 1.730
7.922 -8.435 1.730
11.590 -4.118 1.730
```

Record 10
First-principles (PBE) data for an optimized crystal structure of Na2ZnPdF6, as listed in the Alexandria database.

Summary:
The space group is P1. The crystal system is triclinic. The value obtained for the uncorrected formation energy is -2.142 eV/atom.

```
Na2ZnPdF6
1.0
5.236 0.000 0.000
-0.004 5.557 0.000
-2.507 -2.774 4.872
Na Zn Pd F
2 1 1 6
Cartesian
0.000 0.000 0.000
-0.161 0.005 4.804
-0.083 2.518 2.402
2.538 -0.210 2.403
-1.543 1.158 3.277
-1.412 -1.548 3.213
1.254 4.003 1.591
1.375 1.153 1.530
0.701 2.279 4.138
4.370 2.277 0.666
```

Record 11
First-principles (PBE) data for an optimized crystal structure of ThZr2Sc7, as listed in the Alexandria database.

Summary:
The space group is P2/m. The crystal system is monoclinic. The energy of formation comes out at 0.160 eV per atom.

```
ThZr2Sc7
1.0
8.028 0.000 0.000
0.000 3.175 0.000
-3.983 0.000 9.930
Th Zr Sc
1 2 7
Cartesian
0.000 0.000 0.000
2.720 1.587 1.053
1.324 1.587 8.877
-1.992 1.587 4.965
-1.504 1.587 7.988
0.527 1.587 3.124
0.768 0.000 6.126
3.277 0.000 3.804
3.517 1.587 6.806
5.548 1.587 1.942
```

Record 12
First-principles (PBE) data for an optimized crystal structure of NdRuO6, as listed in the Alexandria database.

Summary:
The space group is C2/m. The crystal system is monoclinic. The value obtained for the uncorrected formation energy is -1.175 eV/atom.

```
NdRuO6
1.0
2.866 -3.230 0.000
2.866 3.230 0.000
-0.971 0.000 5.119
Nd Ru O
1 1 6
Cartesian
0.000 0.000 0.000
2.381 0.000 2.559
1.821 1.280 1.251
0.652 0.000 3.301
2.940 1.280 3.868
1.821 -1.280 1.251
4.109 0.000 1.817
2.940 -1.280 3.868
```

Question: What is the formula in the tenth record?
Answer: Na2ZnPdF6

Question: Which formula does entry 6 have?
Answer: LiSc2Cd5